No. 1
Below is a relaxed structure of ZrCuTc2Rh, with properties calculated at the PBE-GGA level.

Cell and atoms, written as POSCAR:
```
ZrCuTc2Rh
1.0
-3.624 0.574 -2.493
-0.015 -4.601 -1.038
-2.558 -0.790 3.537
Cu Rh Tc Zr
1 1 2 1
Cartesian
0.000 0.000 0.000
-3.098 -2.408 0.003
-1.279 -0.395 1.768
-1.812 0.287 -1.246
-0.007 -2.301 -0.519
```

Calculated values
Symmetry = P4/mmm (123)

***

No. 2
Below is a relaxed structure of CuTe2Rh2, with properties calculated at the PBE-GGA level.

Cell and atoms, written as POSCAR:
```
CuTe2Rh2
1.0
-2.757 3.604 -5.479
3.289 -4.382 -4.538
-2.951 -2.232 0.017
Te Rh Cu
4 4 2
Cartesian
0.256 -3.435 -3.907
-0.559 -2.383 -7.424
-2.676 0.425 -6.093
-1.860 -0.627 -2.576
1.835 -2.470 -5.859
-0.257 0.282 -7.615
-1.303 1.692 -4.158
0.788 -1.060 -2.402
0.000 0.000 0.000
0.266 -0.389 -5.008
```

Calculated values
Symmetry = P4/mbm (127)
Formation energy from raw total energies = 0.2 eV per formula unit

***

Going through the records in order, we get E_tot values of -34.60; -49.86 eV per cell.